A plane-wave DFT calculation with PBE was carried out for Rb3Tm3ZrTe8 after structural relaxation.

Output
Space group: R-3m, No. 166
Total DFT energy (no corrections) (eV per cell): -68.82

```
Rb3Tm3ZrTe8
1.0
4.367 2.521 8.757
-4.367 2.521 8.757
0.000 -5.042 8.757
Rb Tm Zr Te
3 3 1 8
Direct
0.000 0.500 0.500
0.500 0.000 0.500
0.500 0.500 0.000
0.000 0.000 0.500
0.000 0.500 0.000
0.500 0.000 0.000
0.500 0.500 0.500
0.232 0.232 0.232
0.240 0.726 0.726
0.274 0.274 0.760
0.274 0.760 0.274
0.726 0.240 0.726
0.726 0.726 0.240
0.760 0.274 0.274
0.768 0.768 0.768
```